InSiBr2 | PBE | optimized geometry

Properties
- Relative energy among the computed polymorphs: 0.066 eV/atom
- Symmetry: C2/m (12)

Lattice parameters (Å, degrees): 7.641 7.641 5.020 109.12 109.12 28.71
Atoms (fractional coordinates):
In (0.000, 0.000, 0.000)
Si (0.500, 0.500, 0.500)
Br (0.146, 0.146, 0.646)
Br (0.854, 0.854, 0.354)

***

InSiBr | PBE | optimized geometry

Properties
- Symmetry: F-43m (216)

Lattice parameters (Å, degrees): 4.905 4.905 4.905 60.00 60.00 60.00
Atoms (fractional coordinates):
In (0.000, 0.000, 0.000)
Si (0.750, 0.750, 0.750)
Br (0.500, 0.500, 0.500)

***

Calculated ΔE_f (raw) in order - -0.43; 1.26 eV/f.u.